No. 1
VASP calculation (PBE-GGA) on a relaxed structure of PuZnN.

Calculated values
energy relative to the lowest polymorph listed for this composition: 974 meV per atom
symmetry: I4mm (107)
density of states at the Fermi level: 10.18 states/eV/cell
volume: 56.4 Å³ per cell
formation energy (no corrections): 0.224 eV per atom

Cell: 4.073 4.073 4.456 Å, 117.19 117.19 90.00°
Last column: magnetic moment on the atom in μB.
Fractional coordinates of all 3 atoms:
1 Zn 0.993 0.993 0.987  0.05
2 Pu 0.580 0.580 0.159  4.95
3 N 0.277 0.277 0.554  -0.22

=====

No. 2
VASP calculation (PBE-GGA) on a relaxed structure of BaTa2TiSi.

Calculated values
symmetry: P4/mmm (123)
density of states at the Fermi level: 4.90 states/eV/cell
volume: 126.3 Å³ per cell
formation energy (no corrections): 2.751 eV per atom

Cell: 5.102 5.102 4.855 Å, 90.00 90.00 90.00°
Fractional coordinates of all 5 atoms:
1 Ta 0.500 0.000 0.000
2 Ta 0.000 0.500 0.000
3 Ti 0.000 0.000 0.500
4 Ba 0.000 0.000 0.000
5 Si 0.500 0.500 0.500

=====

No. 3
VASP calculation (PBE-GGA) on a relaxed structure of Zr4AlRu5.

Calculated values
symmetry: P4/mmm (123)
formation enthalpy at 0 K: -0.660 eV/atom
density of states at the Fermi level: 1.48 states/eV/cell
volume: 168.4 Å³ per cell

Cell: 3.243 3.243 16.015 Å, 90.00 90.00 90.00°
Fractional coordinates of all 10 atoms:
1 Ru 0.500 0.500 0.910
2 Ru 0.500 0.500 0.705
3 Ru 0.500 0.500 0.090
4 Ru 0.500 0.500 0.295
5 Ru 0.500 0.500 0.500
6 Al 0.000 0.000 0.000
7 Zr 0.000 0.000 0.604
8 Zr 0.000 0.000 0.396
9 Zr 0.000 0.000 0.812
10 Zr 0.000 0.000 0.188